(1)
A relaxed structure of Ba2NbB. Source: Alexandria, functional GGA-PBE.

abc: 11.696 11.696 8.557
angles: 46.89 46.89 90.00
Each line ends with the local moment (μB).
Positions (direct):
Nb 0.000 0.000 0.000  1.27
Nb 0.750 0.250 0.500  1.27
B 0.500 0.500 0.000  -0.05
B 0.250 0.750 0.500  -0.05
Ba 0.447 0.125 0.250  0.03
Ba 0.303 0.625 0.250  0.04
Ba 0.375 0.553 0.750  0.04
Ba 0.875 0.697 0.750  0.04

Computed properties:
Total moment (μB per formula unit): 1.7
V (Å³/atom): 37.54
Formation enthalpy at 0 K (kJ per mole of atoms): 71
Uncorrected energy (eV for the cell shown): -35.30

---

(2)
A relaxed structure of BaNbNi2B. Source: Alexandria, functional GGA-PBE.

abc: 4.671 5.430 4.671
angles: 90.00 90.00 90.00
Positions (direct):
Ni 0.000 0.000 0.500
Ni 0.500 0.000 0.000
Nb 0.000 0.500 0.000
B 0.500 0.500 0.500
Ba 0.000 0.000 0.000

Computed properties:
Total moment (μB per formula unit): 0.0
V (Å³/atom): 23.69
Formation enthalpy at 0 K (kJ per mole of atoms): 282
Uncorrected energy (eV for the cell shown): -15.61

---

(3)
A relaxed structure of BaNbB2S. Source: Alexandria, functional GGA-PBE.

abc: 4.621 5.606 4.621
angles: 90.00 90.00 90.00
Positions (direct):
S 0.500 0.500 0.500
Nb 0.000 0.500 0.000
B 0.000 0.000 0.500
B 0.500 0.000 0.000
Ba 0.000 0.000 0.000

Computed properties:
E_form (uncorrected) (kJ per mole of atoms): 279
Total moment (μB per formula unit): 0.0
V (Å³/atom): 23.94
Uncorrected energy (eV for the cell shown): -15.03

---

(4)
A relaxed structure of BaScNbB2. Source: Alexandria, functional GGA-PBE.

abc: 4.708 5.376 4.708
angles: 90.00 90.00 90.00
Positions (direct):
Sc 0.500 0.500 0.500
Nb 0.000 0.500 0.000
B 0.000 0.000 0.500
B 0.500 0.000 0.000
Ba 0.000 0.000 0.000

Computed properties:
Total moment (μB per formula unit): 0.0
V (Å³/atom): 23.83
Formation enthalpy at 0 K (kJ per mole of atoms): 247
Uncorrected energy (eV for the cell shown): -18.87

---

(5)
A relaxed structure of Ba2NbSiB. Source: Alexandria, functional GGA-PBE.

abc: 6.165 4.145 6.165
angles: 90.00 90.00 90.00
Each line ends with the local moment (μB).
Positions (direct):
Nb 0.000 0.000 0.000  -0.02
B 0.000 0.500 0.000  0.03
Si 0.500 0.500 0.500  0.27
Ba 0.000 0.000 0.500  0.03
Ba 0.500 0.000 0.000  0.03

Computed properties:
E_form (uncorrected) (kJ per mole of atoms): 99
Total moment (μB per formula unit): 1.1
V (Å³/atom): 31.51
Uncorrected energy (eV for the cell shown): -20.90

---

(6)
A relaxed structure of Ba2NbTcB. Source: Alexandria, functional GGA-PBE.

abc: 6.303 4.523 6.303
angles: 90.00 90.00 90.00
Positions (direct):
Nb 0.000 0.000 0.000
B 0.500 0.500 0.500
Ba 0.000 0.000 0.500
Ba 0.500 0.000 0.000
Tc 0.000 0.500 0.000

Computed properties:
Total moment (μB per formula unit): 0.0
V (Å³/atom): 35.95
Formation enthalpy at 0 K (kJ per mole of atoms): 161
Uncorrected energy (eV for the cell shown): -22.63

---

(7)
A relaxed structure of BaNbB2Te. Source: Alexandria, functional GGA-PBE.

abc: 4.608 6.234 4.608
angles: 90.00 90.00 90.00
Positions (direct):
Nb 0.500 0.500 0.500
Te 0.000 0.500 0.000
Ba 0.000 0.000 0.000
B 0.000 0.000 0.500
B 0.500 0.000 0.000

Computed properties:
E_form (uncorrected) (kJ per mole of atoms): 242
Total moment (μB per formula unit): 0.0
V (Å³/atom): 26.47
Uncorrected energy (eV for the cell shown): -15.96

---

(8)
A relaxed structure of Ba2NbTlB. Source: Alexandria, functional GGA-PBE.

abc: 6.590 6.590 5.397
angles: 90.00 90.00 90.00
Each line ends with the local moment (μB).
Positions (direct):
Tl 0.000 0.000 0.000  0.00
B 0.500 0.500 0.500  0.45
Ba 0.000 0.500 0.000  0.05
Ba 0.500 0.000 0.000  0.05
Nb 0.000 0.000 0.500  2.29

Computed properties:
Total moment (μB per formula unit): 5.0
V (Å³/atom): 46.88
Formation enthalpy at 0 K (kJ per mole of atoms): 151
Uncorrected energy (eV for the cell shown): -15.14